The following is a DFT calculation (GGA+U) of a relaxed Li4Ni3BiO8 crystal.

Lattice parameters (Å, degrees): 6.050 6.050 10.490 106.41 106.41 60.46
Atoms (fractional coordinates):
Li (0.000, 0.500, 0.000)
Li (0.000, 0.500, 0.500)
Li (0.225, 0.258, 0.236)
Li (0.258, 0.225, 0.736)
Li (0.500, 0.000, 0.000)
Li (0.500, 0.000, 0.500)
Li (0.742, 0.775, 0.264)
Li (0.775, 0.742, 0.764)
Ni (0.000, 0.000, 0.000)
Ni (0.000, 0.000, 0.500)
Ni (0.248, 0.752, 0.750)
Ni (0.500, 0.500, 0.000)
Ni (0.500, 0.500, 0.500)
Ni (0.752, 0.248, 0.250)
Bi (0.254, 0.746, 0.250)
Bi (0.746, 0.254, 0.750)
O (0.115, 0.119, 0.878)
O (0.119, 0.115, 0.378)
O (0.127, 0.626, 0.375)
O (0.127, 0.664, 0.889)
O (0.336, 0.873, 0.611)
O (0.374, 0.873, 0.125)
O (0.375, 0.384, 0.628)
O (0.384, 0.375, 0.128)
O (0.616, 0.625, 0.872)
O (0.625, 0.616, 0.372)
O (0.626, 0.127, 0.875)
O (0.664, 0.127, 0.389)
O (0.873, 0.336, 0.111)
O (0.873, 0.374, 0.625)
O (0.881, 0.885, 0.622)
O (0.885, 0.881, 0.122)

Output
Fermi-level density of states, states/eV per atom: 0.013
Final energy, eV/f.u.: -80.550
Size of the total moment, μB per cell: 10.0
Energy above the most stable polymorph in this dataset, eV per atom: 0.0000